a) Entry from OQMD: a relaxed TbMgNO crystal (PBE).

Cell lengths 3.569, 5.640, 6.079 Å; angles 90.00, 90.00, 90.00 degrees
Fractional coordinates of all 8 atoms:
Mg: 0.000 0.499 0.345
Mg: 0.000 0.999 0.655
N: 0.000 0.860 0.343
N: 0.000 0.360 0.657
O: 0.500 0.397 0.178
O: 0.500 0.897 0.822
Tb: 0.500 0.998 0.180
Tb: 0.500 0.498 0.820

Calculated values
Its symmetry is Pmc2_1. As for the magnetic moment: 0.0001 μB/atom.

=====

b) Entry from OQMD: a relaxed TbMgNO crystal (PBE).

Cell lengths 5.710, 6.167, 6.936 Å; angles 90.00, 90.00, 90.00 degrees
Fractional coordinates of all 16 atoms:
Mg: 0.996 0.593 0.107
Mg: 0.496 0.907 0.107
Mg: 0.996 0.093 0.893
Mg: 0.496 0.407 0.893
N: 0.633 0.596 0.117
N: 0.133 0.904 0.117
N: 0.633 0.096 0.883
N: 0.133 0.404 0.883
O: 0.590 0.077 0.368
O: 0.090 0.423 0.368
O: 0.590 0.577 0.632
O: 0.090 0.923 0.632
Tb: 0.983 0.074 0.351
Tb: 0.483 0.426 0.351
Tb: 0.983 0.574 0.649
Tb: 0.483 0.926 0.649

Calculated values
Its symmetry is Pca2_1. As for the magnetic moment: 0.0001 μB/atom.

=====

c) Entry from OQMD: a relaxed TbMgNO crystal (PBE).

Cell lengths 3.879, 4.916, 6.113 Å; angles 90.00, 90.00, 90.00 degrees
Fractional coordinates of all 8 atoms:
Mg: 0.500 0.974 0.174
Mg: 0.500 0.474 0.826
N: 0.000 0.934 0.317
N: 0.000 0.434 0.683
O: 0.500 0.394 0.145
O: 0.500 0.894 0.855
Tb: 0.000 0.452 0.310
Tb: 0.000 0.952 0.690

Calculated values
Its symmetry is Pmc2_1. As for the magnetic moment: 0.0001 μB/atom.

=====

d) Entry from OQMD: a relaxed TbMgNO crystal (PBE).

Cell lengths 4.754, 4.754, 4.542 Å; angles 90.00, 90.00, 90.00 degrees
Fractional coordinates of all 8 atoms:
Mg: 0.000 0.500 0.000
Mg: 0.500 0.000 0.000
N: 0.000 0.500 0.500
N: 0.500 0.000 0.500
O: 0.000 0.000 0.000
O: 0.500 0.500 0.000
Tb: 0.000 0.000 0.500
Tb: 0.500 0.500 0.500

Calculated values
Its symmetry is P4/mmm. As for the magnetic moment: 0.0000 μB/atom.

=====

Which of them is most stable, and which least? Most stable: c); least stable: b).

=====

a) Entry from OQMD: a relaxed MgZrNO crystal (PBE).

Cell lengths 3.576, 4.466, 6.492 Å; angles 90.00, 90.00, 90.00 degrees
Fractional coordinates of all 8 atoms:
Mg: 0.000 0.438 0.350
Mg: 0.000 0.938 0.650
N: 0.000 0.939 0.330
N: 0.000 0.439 0.670
O: 0.500 0.439 0.193
O: 0.500 0.939 0.807
Zr: 0.500 0.938 0.160
Zr: 0.500 0.438 0.840

Calculated values
Its symmetry is Pmma. As for the magnetic moment: 0.0028 μB/atom.

=====

b) Entry from OQMD: a relaxed MgZrNO crystal (PBE).

Cell lengths 4.503, 6.260, 7.448 Å; angles 90.00, 90.00, 90.00 degrees
Fractional coordinates of all 16 atoms:
Mg: 0.051 0.095 0.109
Mg: 0.551 0.405 0.109
Mg: 0.051 0.595 0.891
Mg: 0.551 0.905 0.891
N: 0.551 0.075 0.130
N: 0.051 0.425 0.130
N: 0.551 0.575 0.870
N: 0.051 0.925 0.870
O: 0.551 0.578 0.359
O: 0.051 0.922 0.359
O: 0.551 0.078 0.641
O: 0.051 0.422 0.641
Zr: 0.051 0.573 0.367
Zr: 0.551 0.927 0.367
Zr: 0.051 0.073 0.633
Zr: 0.551 0.427 0.633

Calculated values
Its symmetry is Pbcm. As for the magnetic moment: 0.0015 μB/atom.

=====

Which of them is most stable, and which least? Most stable: a); least stable: b).

=====

a) Entry from OQMD: a relaxed MgZrNO crystal (PBE).

Cell lengths 4.476, 4.476, 4.480 Å; angles 90.00, 90.00, 90.00 degrees
Fractional coordinates of all 8 atoms:
Mg: 0.750 0.750 0.001
Mg: 0.250 0.250 0.999
N: 0.750 0.750 0.499
N: 0.250 0.250 0.501
O: 0.750 0.250 0.000
O: 0.250 0.750 0.000
Zr: 0.750 0.250 0.500
Zr: 0.250 0.750 0.500

Calculated values
Its symmetry is P4/nmm. As for the magnetic moment: 0.0001 μB/atom.

=====

b) Entry from OQMD: a relaxed MgZrNO crystal (PBE).

Cell lengths 3.589, 4.457, 6.492 Å; angles 90.00, 90.00, 90.00 degrees
Fractional coordinates of all 8 atoms:
Mg: 0.500 0.939 0.161
Mg: 0.500 0.439 0.839
N: 0.000 0.938 0.321
N: 0.000 0.438 0.679
O: 0.500 0.439 0.147
O: 0.500 0.939 0.853
Zr: 0.000 0.438 0.348
Zr: 0.000 0.938 0.652

Calculated values
Its symmetry is Pmma. As for the magnetic moment: 0.0084 μB/atom.

=====

c) Entry from OQMD: a relaxed MgZrNO crystal (PBE).

Cell lengths 3.567, 3.567, 7.577 Å; angles 90.00, 90.00, 90.00 degrees
Fractional coordinates of all 8 atoms:
Mg: 0.750 0.250 0.500
Mg: 0.250 0.750 0.500
N: 0.750 0.750 0.334
N: 0.250 0.250 0.666
O: 0.750 0.250 0.000
O: 0.250 0.750 0.000
Zr: 0.250 0.250 0.157
Zr: 0.750 0.750 0.843

Calculated values
Its symmetry is P4/nmm. As for the magnetic moment: 0.2270 μB/atom.

=====

Which of them is most stable, and which least? Most stable: a); least stable: c).

=====

a) Entry from OQMD: a relaxed NaMgNbPd crystal (PBE).

Cell lengths 4.635, 4.635, 4.635 Å; angles 60.00, 60.00, 60.00 degrees
Fractional coordinates of all 4 atoms:
Mg: 0.750 0.750 0.750
Na: 0.500 0.500 0.500
Nb: 0.250 0.250 0.250
Pd: 0.000 0.000 0.000

Calculated values
Its symmetry is F-43m. As for the magnetic moment: 0.0003 μB/atom.

=====

b) Entry from OQMD: a relaxed NaMgNbPd crystal (PBE).

Cell lengths 4.683, 4.683, 4.683 Å; angles 60.00, 60.00, 60.00 degrees
Fractional coordinates of all 4 atoms:
Mg: 0.750 0.750 0.750
Na: 0.000 0.000 0.000
Nb: 0.500 0.500 0.500
Pd: 0.250 0.250 0.250

Calculated values
Its symmetry is F-43m. As for the magnetic moment: 0.0007 μB/atom.

=====

Which of them is most stable, and which least? Most stable: a); least stable: b).

=====

a) Entry from OQMD: a relaxed NaNdMgS3 crystal (PBE).

Cell lengths 6.877, 6.877, 11.246 Å; angles 90.00, 90.00, 145.29 degrees
Fractional coordinates of all 12 atoms:
Mg: 0.028 0.972 0.250
Mg: 0.972 0.028 0.750
Na: 0.749 0.251 0.250
Na: 0.251 0.749 0.750
Nd: 0.500 0.500 0.000
Nd: 0.500 0.500 0.500
S: 0.132 0.868 0.076
S: 0.422 0.578 0.250
S: 0.132 0.868 0.424
S: 0.868 0.132 0.576
S: 0.578 0.422 0.750
S: 0.868 0.132 0.924

Calculated values
Its symmetry is Cmcm. As for the magnetic moment: 0.0003 μB/atom.

=====

b) Entry from OQMD: a relaxed NaNdMgS3 crystal (PBE).

Cell lengths 11.762, 4.128, 11.647 Å; angles 90.00, 90.00, 90.00 degrees
Fractional coordinates of all 24 atoms:
Mg: 0.238 0.250 0.213
Mg: 0.738 0.250 0.287
Mg: 0.262 0.750 0.713
Mg: 0.762 0.750 0.787
Na: 0.632 0.250 0.012
Na: 0.132 0.250 0.488
Na: 0.868 0.750 0.512
Na: 0.368 0.750 0.988
Nd: 0.969 0.750 0.171
Nd: 0.469 0.750 0.329
Nd: 0.531 0.250 0.671
Nd: 0.031 0.250 0.829
S: 0.098 0.250 0.066
S: 0.436 0.250 0.158
S: 0.716 0.750 0.177
S: 0.216 0.750 0.323
S: 0.936 0.250 0.342
S: 0.598 0.250 0.434
S: 0.402 0.750 0.566
S: 0.064 0.750 0.658
S: 0.784 0.250 0.677
S: 0.284 0.250 0.823
S: 0.564 0.750 0.842
S: 0.902 0.750 0.934

Calculated values
Its symmetry is Pnma. As for the magnetic moment: 0.0000 μB/atom.

=====

Which of them is most stable, and which least? Most stable: b); least stable: a).

=====

a) Entry from OQMD: a relaxed NaNdMgTe3 crystal (PBE).

Cell lengths 7.703, 7.703, 12.097 Å; angles 90.00, 90.00, 146.21 degrees
Fractional coordinates of all 12 atoms:
Mg: 0.529 0.471 0.250
Mg: 0.471 0.529 0.750
Na: 0.241 0.759 0.250
Na: 0.759 0.241 0.750
Nd: 0.000 0.000 0.000
Nd: 0.000 0.000 0.500
Te: 0.643 0.357 0.068
Te: 0.912 0.088 0.250
Te: 0.643 0.357 0.432
Te: 0.357 0.643 0.568
Te: 0.088 0.912 0.750
Te: 0.357 0.643 0.932

Calculated values
Its symmetry is Cmcm. As for the magnetic moment: 0.0007 μB/atom.

=====

b) Entry from OQMD: a relaxed NaNdMgTe3 crystal (PBE).

Cell lengths 12.799, 4.570, 13.264 Å; angles 90.00, 90.00, 90.00 degrees
Fractional coordinates of all 24 atoms:
Mg: 0.744 0.750 0.214
Mg: 0.244 0.750 0.286
Mg: 0.756 0.250 0.714
Mg: 0.256 0.250 0.786
Na: 0.846 0.250 0.002
Na: 0.346 0.250 0.498
Na: 0.654 0.750 0.502
Na: 0.154 0.750 0.998
Nd: 0.472 0.250 0.177
Nd: 0.972 0.250 0.323
Nd: 0.028 0.750 0.677
Nd: 0.528 0.750 0.823
Te: 0.600 0.750 0.062
Te: 0.949 0.750 0.151
Te: 0.215 0.250 0.169
Te: 0.715 0.250 0.331
Te: 0.449 0.750 0.349
Te: 0.100 0.750 0.438
Te: 0.900 0.250 0.562
Te: 0.551 0.250 0.651
Te: 0.285 0.750 0.669
Te: 0.785 0.750 0.831
Te: 0.051 0.250 0.849
Te: 0.400 0.250 0.938

Calculated values
Its symmetry is Pnma. As for the magnetic moment: 0.0002 μB/atom.

=====

Which of them is most stable, and which least? Most stable: a); least stable: b).

=====

a) Entry from OQMD: a relaxed NaMgTaNi crystal (PBE).

Cell lengths 4.512, 4.512, 4.512 Å; angles 60.00, 60.00, 60.00 degrees
Fractional coordinates of all 4 atoms:
Mg: 0.500 0.500 0.500
Na: 0.750 0.750 0.750
Ni: 0.250 0.250 0.250
Ta: 0.000 0.000 0.000

Calculated values
Its symmetry is F-43m. As for the magnetic moment: 0.0001 μB/atom.

=====

b) Entry from OQMD: a relaxed NaMgTaNi crystal (PBE).

Cell lengths 4.599, 4.599, 4.599 Å; angles 60.00, 60.00, 60.00 degrees
Fractional coordinates of all 4 atoms:
Mg: 0.750 0.750 0.750
Na: 0.500 0.500 0.500
Ni: 0.250 0.250 0.250
Ta: 0.000 0.000 0.000

Calculated values
Its symmetry is F-43m. As for the magnetic moment: 0.0011 μB/atom.

=====

Which of them is most stable, and which least? Most stable: a); least stable: b).

=====

a) Entry from OQMD: a relaxed Na2MgOsO6 crystal (PBE).

Cell lengths 5.437, 5.437, 5.437 Å; angles 120.84, 120.84, 88.56 degrees
Fractional coordinates of all 10 atoms:
Mg: 0.500 0.500 0.000
Na: 0.750 0.250 0.500
Na: 0.250 0.750 0.500
O: 0.239 0.239 0.000
O: 0.761 0.761 0.000
O: 0.294 0.816 0.111
O: 0.184 0.294 0.478
O: 0.816 0.706 0.522
O: 0.706 0.184 0.889
Os: 0.000 0.000 0.000

Calculated values
Its symmetry is I4/m. As for the magnetic moment: 0.0000 μB/atom.

=====

b) Entry from OQMD: a relaxed Na2MgOsO6 crystal (PBE).

Cell lengths 5.361, 5.431, 9.332 Å; angles 90.00, 125.00, 90.00 degrees
Fractional coordinates of all 20 atoms:
Mg: 0.000 0.000 0.000
Mg: 0.000 0.500 0.500
Na: 0.255 0.534 0.249
Na: 0.745 0.034 0.251
Na: 0.255 0.966 0.749
Na: 0.745 0.466 0.751
O: 0.254 0.303 0.034
O: 0.342 0.780 0.037
O: 0.808 0.485 0.239
O: 0.192 0.985 0.261
O: 0.658 0.280 0.463
O: 0.746 0.803 0.466
O: 0.254 0.197 0.534
O: 0.342 0.720 0.537
O: 0.808 0.015 0.739
O: 0.192 0.515 0.761
O: 0.658 0.220 0.963
O: 0.746 0.697 0.966
Os: 0.500 0.500 0.000
Os: 0.500 0.000 0.500

Calculated values
Its symmetry is P2_1/c. As for the magnetic moment: 0.0006 μB/atom.

=====

Which of them is most stable, and which least? Most stable: b); least stable: a).

=====

a) Entry from OQMD: a relaxed NaMgOs crystal (PBE).

Cell lengths 4.525, 4.525, 4.525 Å; angles 60.00, 60.00, 60.00 degrees
Fractional coordinates of all 3 atoms:
Mg: 0.000 0.000 0.000
Na: 0.250 0.250 0.250
Os: 0.750 0.750 0.750

Calculated values
Its symmetry is F-43m. As for the magnetic moment: 0.3959 μB/atom.

=====

b) Entry from OQMD: a relaxed NaMgOs crystal (PBE).

Cell lengths 4.511, 4.511, 4.511 Å; angles 60.00, 60.00, 60.00 degrees
Fractional coordinates of all 3 atoms:
Mg: 0.250 0.250 0.250
Na: 0.000 0.000 0.000
Os: 0.750 0.750 0.750

Calculated values
Its symmetry is F-43m. As for the magnetic moment: 0.5625 μB/atom.

=====

Which of them is most stable, and which least? Most stable: a); least stable: b).

=====

a) Entry from OQMD: a relaxed NaMgTaPd crystal (PBE).

Cell lengths 4.619, 4.619, 4.619 Å; angles 60.00, 60.00, 60.00 degrees
Fractional coordinates of all 4 atoms:
Mg: 0.500 0.500 0.500
Na: 0.750 0.750 0.750
Pd: 0.250 0.250 0.250
Ta: 0.000 0.000 0.000

Calculated values
Its symmetry is F-43m. As for the magnetic moment: 0.0001 μB/atom.

=====

b) Entry from OQMD: a relaxed NaMgTaPd crystal (PBE).

Cell lengths 4.670, 4.670, 4.670 Å; angles 60.00, 60.00, 60.00 degrees
Fractional coordinates of all 4 atoms:
Mg: 0.750 0.750 0.750
Na: 0.500 0.500 0.500
Pd: 0.250 0.250 0.250
Ta: 0.000 0.000 0.000

Calculated values
Its symmetry is F-43m. As for the magnetic moment: 0.0000 μB/atom.

=====

Which of them is most stable, and which least? Most stable: a); least stable: b).